Density functional theory data (PBE) for crystalline BeMoRu2 at its relaxed geometry.

Cell: 2.7467 2.7467 6.8722 Å, 90.00 90.00 90.00°
Closest atoms and distances in Å follow each position.
Space group P4mm (No. 99)
Inequivalent atoms, fractional coordinates:
Be (0.0000, 0.0000, 0.0000) x1  4 Ru 2.37, 4 Mo 2.54
Mo (0.5000, 0.5000, 0.2391) x1  4 Be 2.54, 4 Mo 2.75, 4 Ru 2.83
Ru (0.0000, 0.0000, 0.5393) x1  8 Ru 2.65-2.75, 4 Mo 2.83
Ru (0.5000, 0.5000, 0.8014) x1  4 Be 2.37, 4 Ru 2.65

Properties
total moment = 0.000 μB per atom
formation energy from the elements = -7 kJ/mol of formula units
calculated density = 9.8 g cm⁻³


Density functional theory data (PBE) for crystalline BeMoRu2 at its relaxed geometry.

Cell: 2.9657 2.9657 5.9244 Å, 90.00 90.00 90.00°
Closest atoms and distances in Å follow each position.
Space group P4/mmm (No. 123)
Inequivalent atoms, fractional coordinates:
Be (0.0000, 0.0000, 0.0000) x1  8 Ru 2.48
Mo (0.0000, 0.0000, 0.5000) x1  8 Ru 2.66, 2 Be 2.96, 4 Mo 2.97
Ru (0.5000, 0.5000, 0.2233) x2  4 Be 2.48, 1 Ru 2.65, 4 Mo 2.66

Properties
total moment = 0.000 μB per atom
formation energy from the elements = -63 kJ/mol of formula units
calculated density = 9.8 g cm⁻³


Density functional theory data (PBE) for crystalline BeMoRu2 at its relaxed geometry.

Cell: 2.7503 3.7325 5.3257 Å, 90.00 103.19 90.00°
Closest atoms and distances in Å follow each position.
Space group P2/m (No. 10)
Inequivalent atoms, fractional coordinates:
Be (0.0000, 0.0000, 0.0000) x1  4 Ru 2.35
Mo (0.0000, 0.0000, 0.5000) x1  2 Be 2.66, 8 Ru 2.70-2.75, 2 Mo 2.75
Ru (0.3963, 0.5000, 0.2252) x2  2 Be 2.35, 1 Ru 2.59

Properties
total moment = 0.000 μB per atom
formation energy from the elements = 11 kJ/mol of formula units
calculated density = 9.6 g cm⁻³


Density functional theory data (PBE) for crystalline Be2MoRu2 at its relaxed geometry.

Cell: 6.3572 6.3572 2.9054 Å, 90.00 90.00 90.00°
Closest atoms and distances in Å follow each position.
Space group P4/mbm (No. 127)
Inequivalent atoms, fractional coordinates:
Be (0.1240, 0.3760, 0.0000) x4  1 Be 2.23, 6 Ru 2.37
Mo (0.0000, 0.0000, 0.0000) x2  4 Be 2.52, 8 Ru 2.78
Ru (0.1675, 0.6675, 0.5000) x4  6 Be 2.37

Properties
total moment = 0.000 μB per atom
formation energy from the elements = -119 kJ/mol of formula units
calculated density = 8.9 g cm⁻³
energy relative to the lowest polymorph listed for this composition = 0.000 eV per formula unit


Density functional theory data (PBE) for crystalline BeMo2Ru at its relaxed geometry.

Cell: 2.7550 2.7550 25.7481 Å, 90.00 90.00 120.00°
Closest atoms and distances in Å follow each position.
Space group R-3m (No. 166, hexagonal axes)
Inequivalent atoms, fractional coordinates:
Be (0.0000, 0.0000, 0.0000) x3  6 Mo 2.60, 6 Be 2.76
Mo (0.0000, 0.0000, 0.2533) x6  3 Be 2.60, 3 Ru 2.74, 6 Mo 2.76
Ru (0.0000, 0.0000, 0.5000) x3  6 Mo 2.74, 6 Ru 2.76

Properties
total moment = 0.000 μB per atom
formation energy from the elements = 90 kJ/mol of formula units
calculated density = 8.9 g cm⁻³


Density functional theory data (PBE) for crystalline BeMo4Ru at its relaxed geometry.

Cell: 7.2515 7.2515 7.2515 Å, 90.00 90.00 90.00°
Closest atoms and distances in Å follow each position.
Space group F-43m (No. 216)
Inequivalent atoms, fractional coordinates:
Be (0.0000, 0.0000, 0.0000) x4  12 Mo 3.00, 4 Ru 3.14
Mo (0.1259, 0.1259, 0.6259) x16  6 Mo 2.55-2.58
Ru (0.2500, 0.2500, 0.2500) x4  12 Mo 3.01, 4 Be 3.14

Properties
total moment = 0.000 μB per atom
formation energy from the elements = 307 kJ/mol of formula units
calculated density = 8.6 g cm⁻³


Density functional theory data (PBE) for crystalline BeMoRu2 at its relaxed geometry.

Cell: 2.7498 3.8445 5.0809 Å, 90.00 90.22 90.00°
Closest atoms and distances in Å follow each position.
Space group Pm (No. 6)
Inequivalent atoms, fractional coordinates:
Be (0.0000, 0.0000, 0.0000) x1  6 Ru 2.49-2.59, 4 Mo 2.70, 2 Be 2.75
Mo (0.4979, 0.5000, 0.7422) x1  1 Ru 2.34
Ru (0.0015, 0.0000, 0.4896) x1  2 Be 2.49-2.59, 4 Mo 2.68-2.70, 6 Ru 2.75-2.78
Ru (0.5000, 0.5000, 0.2026) x1  1 Mo 2.34, 4 Be 2.58

Properties
total moment = 0.000 μB per atom
formation energy from the elements = -4 kJ/mol of formula units
calculated density = 9.5 g cm⁻³


Density functional theory data (PBE) for crystalline BeMo2Ru at its relaxed geometry.

Cell: 3.1045 3.1045 5.7002 Å, 90.00 90.00 90.00°
Closest atoms and distances in Å follow each position.
Space group P4/mmm (No. 123)
Inequivalent atoms, fractional coordinates:
Be (0.0000, 0.0000, 0.0000) x1  8 Mo 2.51
Mo (0.5000, 0.5000, 0.2151) x2  1 Mo 2.45, 4 Be 2.51, 4 Ru 2.73
Ru (0.0000, 0.0000, 0.5000) x1  8 Mo 2.73, 2 Be 2.85

Properties
total moment = 0.000 μB per atom
formation energy from the elements = 52 kJ/mol of formula units
calculated density = 9.1 g cm⁻³